[1]
Computed, not measured: BaLiW after structural relaxation at the PBE level of DFT.

Cell: 3.1007 3.1007 8.4352 Å, 90.00 90.00 120.00°
Sites, in units of the cell vectors:
Li (0.6667, 0.3333, 0.3765)
W (0.3333, 0.6667, 0.6411)
Ba (0.0000, 0.0000, 0.9824)

Values from the calculation:
* ΔH_f (0 K): 1.2151 eV/atom
* crystal system: trigonal
* E above lowest polymorph: 125 meV/atom
* mass density: 7.758 Mg/m³
* total magnetic moment: 0.0 Bohr magnetons per cell
* electronic total energy: -4.38 eV per atom
* symmetry: P3m1 (156)

=====

[2]
Computed, not measured: Cs4In2Br after structural relaxation at the PBE level of DFT.

Cell: 7.3950 7.3950 10.3683 Å, 69.11 69.11 90.00°
Sites, in units of the cell vectors:
In (0.4199, 0.4199, 0.1602)
Cs (0.1970, 0.1970, 0.6061)
Cs (0.8030, 0.8030, 0.3939)
In (0.5801, 0.5801, 0.8398)
Cs (0.0000, 0.5000, 0.0000)
Cs (0.5000, 0.0000, 0.0000)
Br (0.0000, 0.0000, 0.0000)

Values from the calculation:
* crystal system: tetragonal
* uncorrected formation energy: -0.42 eV per atom
* mass density: 2.853 Mg/m³
* total magnetic moment: 0.0 Bohr magnetons per cell
* electronic total energy: -1.92 eV per atom
* symmetry: I4/mmm (139)

=====

[3]
Computed, not measured: Zr2Si after structural relaxation at the PBE level of DFT.

Cell: 3.6998 5.7322 6.3352 Å, 90.00 90.00 90.00°
Sites, in units of the cell vectors:
Zr (0.0000, 0.6190, 0.2277)
Zr (0.5000, 0.8810, 0.7277)
Zr (0.5000, 0.1190, 0.2723)
Zr (0.0000, 0.3810, 0.7723)
Si (0.0000, 0.0000, 0.0000)
Si (0.5000, 0.5000, 0.5000)

Values from the calculation:
* crystal system: orthorhombic
* uncorrected formation energy: -0.26 eV per atom
* mass density: 5.204 Mg/m³
* total magnetic moment: 0.0 Bohr magnetons per cell
* electronic total energy: -7.77 eV per atom
* symmetry: Pnnm (58)

=====

[4]
Computed, not measured: LaAl2GaAu4 after structural relaxation at the PBE level of DFT.

Cell: 4.4065 4.4065 9.9056 Å, 77.15 77.15 60.00°
Sites, in units of the cell vectors:
Au (0.3985, 0.3985, 0.8044)
Au (0.6015, 0.6015, 0.1956)
Au (0.8729, 0.8729, 0.3813)
Al (0.2428, 0.2428, 0.2715)
Ga (0.5000, 0.5000, 0.5000)
La (0.0000, 0.0000, 0.0000)
Al (0.7572, 0.7572, 0.7285)
Au (0.1271, 0.1271, 0.6187)

Values from the calculation:
* ΔH_f (0 K): -0.5060 eV/atom
* crystal system: trigonal
* mass density: 10.836 Mg/m³
* total magnetic moment: 0.0 Bohr magnetons per cell
* electronic total energy: -4.07 eV per atom
* symmetry: R-3m (166)

=====

[5]
Computed, not measured: Tb5TmZn4 after structural relaxation at the PBE level of DFT.

Cell: 3.5772 3.5772 19.2937 Å, 90.00 90.00 90.00°
Sites, in units of the cell vectors:
Tb (0.5000, 0.5000, 0.3151)
Zn (0.0000, 0.0000, 0.7780)
Zn (0.0000, 0.0000, 0.2220)
Tb (0.5000, 0.5000, 0.6849)
Tb (0.5000, 0.5000, 0.8703)
Tm (0.0000, 0.0000, 0.0000)
Zn (0.0000, 0.0000, 0.4067)
Tb (0.5000, 0.5000, 0.1297)
Zn (0.0000, 0.0000, 0.5933)
Tb (0.5000, 0.5000, 0.5000)

Values from the calculation:
* ΔH_f (0 K): -0.2652 eV/atom
* crystal system: tetragonal
* mass density: 8.241 Mg/m³
* total magnetic moment: 0.0 Bohr magnetons per cell
* electronic total energy: -3.54 eV per atom
* symmetry: P4/mmm (123)

=====

[6]
Computed, not measured: LaPr12Tm7 after structural relaxation at the PBE level of DFT.

Cell: 9.4821 9.4821 9.4821 Å, 107.88 107.88 107.88°
Sites, in units of the cell vectors:
Pr (0.6249, 0.7809, 0.3294)
Pr (0.6706, 0.3751, 0.2191)
Tm (0.3202, 0.0076, 0.8951)
Pr (0.4092, 0.0533, 0.2957)
Tm (0.1049, 0.6798, 0.9924)
Pr (0.2191, 0.6706, 0.3751)
Pr (0.0533, 0.2957, 0.4092)
Pr (0.2957, 0.4092, 0.0533)
Tm (0.5000, 0.5000, 0.5000)
Pr (0.5908, 0.9467, 0.7043)
Pr (0.3751, 0.2191, 0.6706)
Pr (0.7043, 0.5908, 0.9467)
Pr (0.3294, 0.6249, 0.7809)
Tm (0.6798, 0.9924, 0.1049)
Pr (0.7809, 0.3294, 0.6249)
Tm (0.0076, 0.8951, 0.3202)
Tm (0.8951, 0.3202, 0.0076)
Pr (0.9467, 0.7043, 0.5908)
Tm (0.9924, 0.1049, 0.6798)
La (0.0000, 0.0000, 0.0000)

Values from the calculation:
* ΔH_f (0 K): 0.1434 eV/atom
* crystal system: trigonal
* E above lowest polymorph: 0 meV/atom
* mass density: 7.225 Mg/m³
* total magnetic moment: 0.0 Bohr magnetons per cell
* electronic total energy: -4.54 eV per atom
* symmetry: R-3 (148)

=====

[7]
Computed, not measured: Nd2HoCu4 after structural relaxation at the PBE level of DFT.

Cell: 4.6895 5.0839 6.7319 Å, 90.05 110.38 90.00°
Sites, in units of the cell vectors:
Cu (0.5601, 0.2834, 0.1203)
Nd (0.3050, 0.2423, 0.6100)
Cu (0.0973, 0.4968, 0.1947)
Cu (0.4399, 0.7166, 0.8797)
Ho (0.0000, 0.0000, 0.0000)
Nd (0.6950, 0.7577, 0.3900)
Cu (0.9027, 0.5032, 0.8053)

Values from the calculation:
* ΔH_f (0 K): -0.1262 eV/atom
* crystal system: monoclinic
* mass density: 7.810 Mg/m³
* total magnetic moment: 0.0 Bohr magnetons per cell
* electronic total energy: -4.48 eV per atom
* symmetry: C2/m (12)

=====

[8]
Computed, not measured: Lu2InFe after structural relaxation at the PBE level of DFT.

Cell: 4.9837 4.9837 4.9837 Å, 60.00 60.00 60.00°
Site moments in Bohr magnetons follow the coordinates.
Sites, in units of the cell vectors:
Lu (0.2500, 0.2500, 0.2500)  0.23
Fe (0.0000, 0.0000, 0.0000)  -1.95
Lu (0.7500, 0.7500, 0.7500)  0.23
In (0.5000, 0.5000, 0.5000)  0.03

Values from the calculation:
* ΔH_f (0 K): -0.1023 eV/atom
* crystal system: cubic
* E above lowest polymorph: 128 meV/atom
* mass density: 9.877 Mg/m³
* total magnetic moment: 1.4 Bohr magnetons per cell
* electronic total energy: -5.16 eV per atom
* symmetry: Fm-3m (225)

=====

[9]
Computed, not measured: AcEuIrPd after structural relaxation at the PBE level of DFT.

Cell: 5.1739 5.1739 5.1739 Å, 60.00 60.00 60.00°
Site moments in Bohr magnetons follow the coordinates.
Sites, in units of the cell vectors:
Eu (0.0000, 0.0000, 0.0000)  6.75
Ir (0.2500, 0.2500, 0.2500)  -0.10
Ac (0.5000, 0.5000, 0.5000)  0.03
Pd (0.7500, 0.7500, 0.7500)  -0.01

Values from the calculation:
* ΔH_f (0 K): -0.5664 eV/atom
* crystal system: cubic
* mass density: 11.489 Mg/m³
* total magnetic moment: 6.9 Bohr magnetons per cell
* electronic total energy: -7.68 eV per atom
* symmetry: F-43m (216)

=====

[10]
Computed, not measured: SrTcBr2 after structural relaxation at the PBE level of DFT.

Cell: 10.4789 10.4789 10.4789 Å, 23.09 23.09 23.09°
Site moments in Bohr magnetons follow the coordinates.
Sites, in units of the cell vectors:
Tc (0.7500, 0.7500, 0.7500)  3.87
Sr (0.2500, 0.2500, 0.2500)  0.01
Br (0.9754, 0.9754, 0.9754)  0.01
Br (0.5246, 0.5246, 0.5246)  0.01

Values from the calculation:
* crystal system: trigonal
* E above lowest polymorph: 304 meV/atom
* uncorrected formation energy: -0.05 eV per atom
* mass density: 3.691 Mg/m³
* total magnetic moment: 4.8 Bohr magnetons per cell
* electronic total energy: -3.89 eV per atom
* symmetry: R-3m (166)

=====

Question: Among the records above, which one has the lowest electronic total energy?
Answer: Zr2Si